No. 1
First-principles (GGA-PBE) data for a relaxed structure of GaTePd2, as listed in Alexandria.

## Properties
Uncorrected energy: -4.4022 eV per atom
Crystal system: tetragonal

Cell and atoms, written as POSCAR:
```
GaTePd2
1.0
-4.071 -0.448 1.547
0.708 -4.275 0.626
1.098 -0.763 8.864
Te Ga Pd
2 2 4
Cartesian
0.000 0.000 0.000
-2.327 -1.786 5.749
-1.681 -2.362 1.086
0.063 -3.700 5.288
-2.125 -0.999 3.240
0.152 -2.925 2.822
-0.427 -2.402 7.472
-2.128 -4.646 8.541
```

=====

No. 2
First-principles (GGA-PBE) data for a relaxed structure of PaMo2S6, as listed in Alexandria.

## Properties
Uncorrected energy: -6.9764 eV per atom
Crystal system: monoclinic

Cell and atoms, written as POSCAR:
```
PaMo2S6
1.0
-4.201 -1.587 0.349
-0.636 -3.520 5.404
-3.744 4.575 4.793
Pa Mo S
1 2 6
Cartesian
-2.190 0.527 5.099
-4.602 1.331 8.787
-3.979 -1.863 1.759
-6.852 0.729 8.028
-1.729 -1.261 2.519
-5.426 -3.453 6.183
-4.221 -0.127 6.743
-3.155 2.921 4.363
-4.360 -0.405 3.803
```

=====

No. 3
First-principles (GGA-PBE) data for a relaxed structure of BaIn2SbAu, as listed in Alexandria.

## Properties
Uncorrected energy: -1.9924 eV per atom
Crystal system: tetragonal

Cell and atoms, written as POSCAR:
```
BaIn2SbAu
1.0
-4.905 -3.515 -3.074
-2.228 -1.566 5.346
-3.934 5.512 -0.025
Sb Au Ba In
1 1 1 2
Cartesian
-1.114 -0.783 2.673
-5.534 0.215 1.123
0.000 0.000 0.000
-1.967 2.756 -0.013
-2.452 -1.758 -1.537
```

=====

No. 4
First-principles (GGA-PBE) data for a relaxed structure of La6SmEr, as listed in Alexandria.

## Properties
ΔH_f (0 K): 0.007 eV per atom
Uncorrected energy: -4.8484 eV per atom
Crystal system: tetragonal

Cell and atoms, written as POSCAR:
```
La6SmEr
1.0
-0.786 3.145 4.079
-1.387 -4.103 2.897
9.925 -1.297 2.914
La Sm Er
6 1 1
Cartesian
-1.087 -0.479 3.488
3.876 -1.128 4.945
2.099 1.247 2.771
7.040 0.601 4.222
1.799 -2.377 2.180
6.740 -3.023 3.631
0.000 0.000 0.000
4.963 -0.649 1.457
```